First-principles (PBE) data for a relaxed structure of Rb3Ca2Br5Cl2, as listed in Alexandria.

- N(E_F) (states/eV/atom) = 0.00
- M_tot (μB/atom) = 0.00
- formation energy without anion corrections (meV/atom) = -1964

Cell: 5.7416 5.7416 27.7816 Å, 90.00 90.00 90.00°
Space group I4/mmm (No. 139)
Unique sites:
Rb1 0.0000 0.0000 0.0000 x2
Rb2 0.0000 0.0000 0.1839 x4
Ca1 0.0000 0.0000 0.3951 x4
Br1 0.0000 0.0000 0.5000 x2
Br2 0.0000 0.5000 0.1002 x8
Cl1 0.0000 0.0000 0.2994 x4

First-principles (PBE) data for a relaxed structure of Rb2CaBr6Cl, as listed in Alexandria.

- N(E_F) (states/eV/atom) = 0.46
- M_tot (μB/atom) = 0.10
- formation energy without anion corrections (meV/atom) = -1085

Cell: 7.8238 7.8238 12.8074 Å, 90.00 90.00 90.00°
Space group I4/mmm (No. 139)
Unique sites:
Rb1 0.0000 0.5000 0.2500 x4
Ca1 0.0000 0.0000 0.0000 x2
Br1 0.0000 0.0000 0.2185 x4
Br2 0.2387 0.2387 0.5000 x8
Cl1 0.0000 0.0000 0.5000 x2

First-principles (PBE) data for a relaxed structure of CaS2BrCl, as listed in Alexandria.

- N(E_F) (states/eV/atom) = 0.46
- ΔE to the lowest computed polymorph (eV/atom) = 0.003
- M_tot (μB/atom) = 0.81
- formation energy without anion corrections (meV/atom) = -183

Cell: 5.6966 5.6966 5.1530 Å, 90.00 90.00 90.00°
Space group P4/mmm (No. 123)
Unique sites:
Ca1 0.0000 0.0000 0.0000 x1
S1 0.0000 0.5000 0.0000 x2
Br1 0.5000 0.5000 0.5000 x1
Cl1 0.0000 0.0000 0.5000 x1

First-principles (PBE) data for a relaxed structure of CaS2BrCl, as listed in Alexandria.

- N(E_F) (states/eV/atom) = 0.54
- ΔE to the lowest computed polymorph (eV/atom) = 0.000
- M_tot (μB/atom) = 0.00
- formation energy without anion corrections (meV/atom) = -186

Cell: 5.0047 5.0047 5.0205 Å, 90.00 90.00 90.00°
Space group P4/mmm (No. 123)
Unique sites:
Ca1 0.0000 0.0000 0.0000 x1
S1 0.0000 0.5000 0.5000 x2
Br1 0.5000 0.5000 0.5000 x1
Cl1 0.5000 0.5000 0.0000 x1

Question: Number 1 is which compound?
Answer: Rb3Ca2Br5Cl2